# 1
This record from Alexandria via LeMat-Bulk describes a crystal of BeGa2SnHg relaxed with PBEsol. The functional is meta-GGA SCAN.

## Properties
ΔE_f ... 1.53 eV/f.u.
Uncorrected energy ... -27.9214 eV per atom
Crystal system ... tetragonal
Space-group type ... No. 123
DOS(E_F) ... 2.2 states/eV/f.u.

a b c (Å): 4.4250 4.4250 5.1670
angles (deg): 90.00 90.00 90.00
Fractional coordinates of all 5 atoms:
Be 0.0000 0.0000 0.0000
Ga 0.0000 0.5000 0.0000
Ga 0.5000 0.0000 0.0000
Sn 0.0000 0.0000 0.5000
Hg 0.5000 0.5000 0.5000

# 2
This record from Alexandria via LeMat-Bulk describes a crystal of BeTlGa2Hg relaxed with PBEsol. The functional is meta-GGA SCAN.

## Properties
ΔE_f ... 3.57 eV/f.u.
Uncorrected energy ... -34.8010 eV per atom
Crystal system ... tetragonal
Space-group type ... No. 123
DOS(E_F) ... 2.3 states/eV/f.u.

a b c (Å): 5.3754 5.3754 4.5202
angles (deg): 90.00 90.00 90.00
Fractional coordinates of all 5 atoms:
Be 0.0000 0.0000 0.0000
Tl 0.0000 0.0000 0.5000
Ga 0.0000 0.5000 0.5000
Ga 0.5000 0.0000 0.5000
Hg 0.5000 0.5000 0.0000

# 3
This record from Alexandria via LeMat-Bulk describes a crystal of Be2GaMoI relaxed with PBEsol. The functional is meta-GGA SCAN.

## Properties
Formation energy from raw total energies ... 1.25 eV/atom
Uncorrected energy ... -18.0889 eV per atom
Crystal system ... tetragonal
Space-group type ... No. 123
DOS(E_F) ... 2.8 states/eV/f.u.

a b c (Å): 4.5761 4.5761 4.9611
angles (deg): 90.00 90.00 90.00
Fractional coordinates of all 5 atoms:
Be 0.0000 0.5000 0.0000
Be 0.5000 0.0000 0.0000
Ga 0.0000 0.0000 0.5000
Mo 0.0000 0.0000 0.0000
I 0.5000 0.5000 0.5000

# 4
This record from Alexandria via LeMat-Bulk describes a crystal of BeNbGaI2 relaxed with PBEsol. The functional is meta-GGA SCAN.

## Properties
Formation energy from raw total energies ... 0.87 eV/atom
Uncorrected energy ... -24.5905 eV per atom
Crystal system ... tetragonal
Space-group type ... No. 123
DOS(E_F) ... 1.4 states/eV/f.u.

a b c (Å): 5.1837 5.1837 4.6117
angles (deg): 90.00 90.00 90.00
Fractional coordinates of all 5 atoms:
Be 0.0000 0.0000 0.0000
Nb 0.0000 0.0000 0.5000
Ga 0.5000 0.5000 0.5000
I 0.0000 0.5000 0.0000
I 0.5000 0.0000 0.0000

# 5
This record from Alexandria via LeMat-Bulk describes a crystal of BeGaTeI2 relaxed with PBEsol. The functional is meta-GGA SCAN.

## Properties
Formation energy from raw total energies ... 0.15 eV/atom
Uncorrected energy ... -26.1383 eV per atom
Crystal system ... tetragonal
Space-group type ... No. 123
DOS(E_F) ... 2.7 states/eV/f.u.

a b c (Å): 5.2481 5.2481 5.0051
angles (deg): 90.00 90.00 90.00
Fractional coordinates of all 5 atoms:
Be 0.0000 0.0000 0.0000
Ga 0.5000 0.5000 0.5000
Te 0.0000 0.0000 0.5000
I 0.0000 0.5000 0.0000
I 0.5000 0.0000 0.0000

# 6
This record from Alexandria via LeMat-Bulk describes a crystal of BeIn2GaRe relaxed with PBEsol. The functional is meta-GGA SCAN.

## Properties
ΔE_f ... 5.87 eV/f.u.
Uncorrected energy ... -30.5395 eV per atom
Crystal system ... tetragonal
Space-group type ... No. 123
DOS(E_F) ... 2.6 states/eV/f.u.

a b c (Å): 4.7471 4.7471 4.0897
angles (deg): 90.00 90.00 90.00
Fractional coordinates of all 5 atoms:
Be 0.0000 0.0000 0.0000
In 0.0000 0.5000 0.0000
In 0.5000 0.0000 0.0000
Ga 0.0000 0.0000 0.5000
Re 0.5000 0.5000 0.5000

# 7
This record from Alexandria via LeMat-Bulk describes a crystal of LaBe3Ga relaxed with PBEsol. The functional is meta-GGA SCAN.

## Properties
Offset from the most stable computed form ... 1.713 eV per atom
ΔE_f ... 10.11 eV/f.u.
Uncorrected energy ... -12.4805 eV per atom
Crystal system ... cubic
Space-group type ... No. 221
DOS(E_F) ... 4.6 states/eV/f.u.

a b c (Å): 5.0085 5.0085 5.0085
angles (deg): 90.00 90.00 90.00
Fractional coordinates of all 5 atoms:
La 0.0000 0.0000 0.0000
Be 0.0000 0.0000 0.5000
Be 0.0000 0.5000 0.0000
Be 0.5000 0.0000 0.0000
Ga 0.5000 0.5000 0.5000

# 8
This record from Alexandria via LeMat-Bulk describes a crystal of LaBeGa2 relaxed with PBEsol. The functional is meta-GGA SCAN.

## Properties
ΔE_f ... -0.42 eV/f.u.
Uncorrected energy ... -20.1426 eV per atom
Crystal system ... cubic
Space-group type ... No. 225
DOS(E_F) ... 1.7 states/eV/f.u.

a b c (Å): 6.7549 6.7549 6.7549
angles (deg): 90.00 90.00 90.00
Fractional coordinates of all 16 atoms:
La 0.0000 0.0000 0.0000
La 0.0000 0.5000 0.5000
La 0.5000 0.0000 0.5000
La 0.5000 0.5000 0.0000
Be 0.0000 0.0000 0.5000
Be 0.0000 0.5000 0.0000
Be 0.5000 0.0000 0.0000
Be 0.5000 0.5000 0.5000
Ga 0.2500 0.2500 0.2500
Ga 0.2500 0.2500 0.7500
Ga 0.2500 0.7500 0.2500
Ga 0.2500 0.7500 0.7500
Ga 0.7500 0.2500 0.2500
Ga 0.7500 0.2500 0.7500
Ga 0.7500 0.7500 0.2500
Ga 0.7500 0.7500 0.7500

# 9
This record from Alexandria via LeMat-Bulk describes a crystal of LaBe3Ga relaxed with PBEsol. The functional is meta-GGA SCAN.

## Properties
Offset from the most stable computed form ... 0.000 eV per atom
ΔE_f ... 1.54 eV/f.u.
Uncorrected energy ... -14.1937 eV per atom
Crystal system ... cubic
Space-group type ... No. 221
DOS(E_F) ... 2.0 states/eV/f.u.

a b c (Å): 4.3328 4.3328 4.3328
angles (deg): 90.00 90.00 90.00
Fractional coordinates of all 5 atoms:
La 0.0000 0.0000 0.0000
Be 0.0000 0.5000 0.5000
Be 0.5000 0.0000 0.5000
Be 0.5000 0.5000 0.0000
Ga 0.5000 0.5000 0.5000

# 10
This record from Alexandria via LeMat-Bulk describes a crystal of LiBe3Ga relaxed with PBEsol. The functional is meta-GGA SCAN.

## Properties
ΔE_f ... 4.84 eV/f.u.
Uncorrected energy ... -5.3913 eV per atom
Crystal system ... cubic
Space-group type ... No. 221
DOS(E_F) ... 1.1 states/eV/f.u.

a b c (Å): 3.8826 3.8826 3.8826
angles (deg): 90.00 90.00 90.00
Fractional coordinates of all 5 atoms:
Li 0.0000 0.0000 0.0000
Be 0.0000 0.0000 0.5000
Be 0.0000 0.5000 0.0000
Be 0.5000 0.0000 0.0000
Ga 0.5000 0.5000 0.5000

# 11
This record from Alexandria via LeMat-Bulk describes a crystal of BeGaTeN2 relaxed with PBEsol. The functional is meta-GGA SCAN.

## Properties
Offset from the most stable computed form ... 0.000 eV per atom
Formation energy from raw total energies ... 1.16 eV/atom
Uncorrected energy ... -14.1461 eV per atom
Crystal system ... tetragonal
Space-group type ... No. 123
DOS(E_F) ... 1.8 states/eV/f.u.

a b c (Å): 3.6417 3.6417 5.2983
angles (deg): 90.00 90.00 90.00
Fractional coordinates of all 5 atoms:
Be 0.0000 0.0000 0.0000
Ga 0.5000 0.5000 0.5000
Te 0.0000 0.0000 0.5000
N 0.0000 0.5000 0.0000
N 0.5000 0.0000 0.0000

# 12
This record from Alexandria via LeMat-Bulk describes a crystal of BeGaTeN2 relaxed with PBEsol. The functional is meta-GGA SCAN.

## Properties
Offset from the most stable computed form ... 0.078 eV per atom
Formation energy from raw total energies ... 1.24 eV/atom
Uncorrected energy ... -14.0680 eV per atom
Crystal system ... tetragonal
Space-group type ... No. 123
DOS(E_F) ... 1.4 states/eV/f.u.

a b c (Å): 3.7353 3.7353 6.1444
angles (deg): 90.00 90.00 90.00
Fractional coordinates of all 5 atoms:
Be 0.0000 0.0000 0.0000
Ga 0.5000 0.5000 0.5000
Te 0.5000 0.5000 0.0000
N 0.0000 0.5000 0.5000
N 0.5000 0.0000 0.5000